SrCoF: optimized geometry, PBE+U.

Calculated values
The excess energy over the best structure of this formula in the dataset is 1.81 eV per formula unit.

Lattice parameters (Å, degrees): 4.131 4.131 9.983 90.00 90.00 120.00
Fractional positions:
Sr 0.333 0.667 0.250
Sr 0.667 0.333 0.750
Co 0.000 0.000 0.000
Co 0.000 0.000 0.500
F 0.000 0.000 0.250
F 0.000 0.000 0.750